Compound: Ac3DyTl12
Source: the Alexandria database
Functional: PBE-GGA
Structure: relaxed

Cell: 4.9493 4.9493 19.8404 Å, 90.00 90.00 90.00°
Fractional coordinates of all 16 atoms:
Ac (0.0000, 0.0000, 0.0000)
Ac (0.0000, 0.0000, 0.2584)
Ac (0.0000, 0.0000, 0.7416)
Dy (0.0000, 0.0000, 0.5000)
Tl (0.0000, 0.5000, 0.1287)
Tl (0.0000, 0.5000, 0.3850)
Tl (0.0000, 0.5000, 0.6150)
Tl (0.0000, 0.5000, 0.8713)
Tl (0.5000, 0.0000, 0.1287)
Tl (0.5000, 0.0000, 0.3850)
Tl (0.5000, 0.0000, 0.6150)
Tl (0.5000, 0.0000, 0.8713)
Tl (0.5000, 0.5000, 0.0000)
Tl (0.5000, 0.5000, 0.2520)
Tl (0.5000, 0.5000, 0.5000)
Tl (0.5000, 0.5000, 0.7480)

Properties
E_form: -284 meV/atom
DFT total energy: -3.1167 eV/atom
SG: P4/mmm, No. 123

***

Compound: TaCuPt
Source: the Alexandria database
Functional: PBE-GGA
Structure: relaxed

Cell: 4.6874 8.4725 4.7368 Å, 90.00 90.00 90.00°
Fractional coordinates of all 12 atoms:
Ta (0.0000, 0.1044, 0.2500)
Ta (0.0000, 0.8956, 0.7500)
Ta (0.5000, 0.3956, 0.7500)
Ta (0.5000, 0.6044, 0.2500)
Cu (0.0000, 0.4342, 0.2500)
Cu (0.0000, 0.5658, 0.7500)
Cu (0.5000, 0.0658, 0.7500)
Cu (0.5000, 0.9342, 0.2500)
Pt (0.0000, 0.2395, 0.7500)
Pt (0.0000, 0.7605, 0.2500)
Pt (0.5000, 0.2605, 0.2500)
Pt (0.5000, 0.7395, 0.7500)

Properties
E_form: -288 meV/atom
DFT total energy: -7.6179 eV/atom
SG: Cmcm, No. 63
energy above the lowest structure with this stoichiometry: 0.128 eV/atom

***

Compound: KLaF4
Source: the Alexandria database
Functional: PBE-GGA
Structure: relaxed

Cell: 6.3790 3.8677 15.8693 Å, 90.00 90.00 90.00°
Fractional coordinates of all 24 atoms:
K (0.2214, 0.2500, 0.2018)
K (0.2786, 0.7500, 0.7018)
K (0.7214, 0.2500, 0.2982)
K (0.7786, 0.7500, 0.7982)
La (0.2486, 0.7500, 0.4378)
La (0.2514, 0.2500, 0.9378)
La (0.7486, 0.7500, 0.0622)
La (0.7514, 0.2500, 0.5622)
F (0.0055, 0.2500, 0.0591)
F (0.0908, 0.2500, 0.8051)
F (0.1040, 0.2500, 0.3637)
F (0.1350, 0.2500, 0.5363)
F (0.3650, 0.7500, 0.0363)
F (0.3960, 0.7500, 0.8637)
F (0.4092, 0.7500, 0.3051)
F (0.4945, 0.7500, 0.5591)
F (0.5055, 0.2500, 0.4409)
F (0.5908, 0.2500, 0.6949)
F (0.6040, 0.2500, 0.1363)
F (0.6350, 0.2500, 0.9637)
F (0.8650, 0.7500, 0.4637)
F (0.8960, 0.7500, 0.6363)
F (0.9092, 0.7500, 0.1949)
F (0.9945, 0.7500, 0.9409)

Properties
DFT total energy: -5.9988 eV/atom
SG: Pnma, No. 62
E_form (uncorrected): -3.75 eV/atom

***

Compound: SrMg6Ge2
Source: the Alexandria database
Functional: PBE-GGA
Structure: relaxed

Cell: 4.4650 4.4650 10.5625 Å, 90.00 90.00 90.00°
Fractional coordinates of all 9 atoms:
Sr (0.0000, 0.0000, 0.0000)
Mg (0.0000, 0.0000, 0.5000)
Mg (0.0000, 0.5000, 0.2823)
Mg (0.0000, 0.5000, 0.7177)
Mg (0.5000, 0.0000, 0.2823)
Mg (0.5000, 0.0000, 0.7177)
Mg (0.5000, 0.5000, 0.5000)
Ge (0.5000, 0.5000, 0.1239)
Ge (0.5000, 0.5000, 0.8761)

Properties
E_form: -241 meV/atom
DFT total energy: -2.5170 eV/atom
SG: P4/mmm, No. 123

***

Compound: Ce2BeSi4Pt3
Source: the Alexandria database
Functional: PBE-GGA
Structure: relaxed

Cell: 4.1772 4.1772 9.9242 Å, 90.00 90.00 90.00°
Fractional coordinates of all 10 atoms:
Ce (0.0000, 0.5000, 0.2465)
Ce (0.5000, 0.0000, 0.7535)
Be (0.5000, 0.5000, 0.0000)
Si (0.0000, 0.0000, 0.5000)
Si (0.0000, 0.5000, 0.8699)
Si (0.5000, 0.0000, 0.1301)
Si (0.5000, 0.5000, 0.5000)
Pt (0.0000, 0.0000, 0.0000)
Pt (0.0000, 0.5000, 0.6254)
Pt (0.5000, 0.0000, 0.3746)

Properties
DFT total energy: -6.4997 eV/atom
SG: P-4m2, No. 115
E_form (uncorrected): -0.96 eV/atom

***

Compound: SmY4Se6
Source: the Alexandria database
Functional: PBE-GGA
Structure: relaxed

Cell: 7.0093 7.0093 20.8196 Å, 90.00 90.00 146.66°
Fractional coordinates of all 22 atoms:
Sm (0.1536, 0.8464, 0.7500)
Sm (0.8464, 0.1536, 0.2500)
Y (0.0897, 0.9103, 0.1267)
Y (0.0897, 0.9103, 0.3733)
Y (0.3594, 0.6406, 0.0382)
Y (0.3594, 0.6406, 0.4618)
Y (0.6406, 0.3594, 0.5382)
Y (0.6406, 0.3594, 0.9618)
Y (0.9103, 0.0897, 0.6267)
Y (0.9103, 0.0897, 0.8733)
Se (0.0000, 0.0000, 0.0000)
Se (0.0000, 0.0000, 0.5000)
Se (0.1870, 0.8130, 0.2500)
Se (0.2686, 0.7314, 0.5907)
Se (0.2686, 0.7314, 0.9093)
Se (0.4484, 0.5516, 0.1656)
Se (0.4484, 0.5516, 0.3344)
Se (0.5516, 0.4484, 0.6656)
Se (0.5516, 0.4484, 0.8344)
Se (0.7314, 0.2686, 0.0907)
Se (0.7314, 0.2686, 0.4093)
Se (0.8130, 0.1870, 0.7500)

Properties
DFT total energy: -6.5228 eV/atom
SG: Cmcm, No. 63
E_form (uncorrected): -1.84 eV/atom

***

Compound: PmSnH2
Source: the Alexandria database
Functional: PBE-GGA
Structure: relaxed

Cell: 3.7253 3.7253 16.9177 Å, 90.00 90.00 120.00°
Fractional coordinates of all 12 atoms:
Pm (0.0000, 0.0000, 0.0000)
Pm (0.3333, 0.6667, 0.6667)
Pm (0.6667, 0.3333, 0.3333)
Sn (0.0000, 0.0000, 0.5000)
Sn (0.3333, 0.6667, 0.1667)
Sn (0.6667, 0.3333, 0.8333)
H (0.0000, 0.0000, 0.2997)
H (0.0000, 0.0000, 0.7003)
H (0.3333, 0.6667, 0.3670)
H (0.3333, 0.6667, 0.9663)
H (0.6667, 0.3333, 0.0337)
H (0.6667, 0.3333, 0.6330)

Properties
DFT total energy: -4.2297 eV/atom
SG: R-3m, No. 166

***

Compound: La6Se3S2N
Source: the Alexandria database
Functional: PBE-GGA
Structure: relaxed

Cell: 7.1759 7.1759 7.3195 Å, 99.43 99.43 119.96°
Fractional coordinates of all 12 atoms:
La (0.0722, 0.3832, 0.2173)
La (0.2371, 0.2371, 0.7789)
La (0.3832, 0.0722, 0.2173)
La (0.6168, 0.9278, 0.7827)
La (0.7629, 0.7629, 0.2211)
La (0.9278, 0.6168, 0.7827)
Se (0.1728, 0.8272, 0.5000)
Se (0.5000, 0.5000, 0.5000)
Se (0.8272, 0.1728, 0.5000)
S (0.3341, 0.6659, 0.0000)
S (0.6659, 0.3341, 0.0000)
N (0.0000, 0.0000, 0.0000)

Properties
DFT total energy: -6.6476 eV/atom
SG: C2/m, No. 12
E_form (uncorrected): -1.93 eV/atom